[1]
Computed, not measured: crystalline CsCrSi2Pt at its relaxed geometry at the PBE level of DFT.

The calculation puts the total moment at 4.7 μB/cell. Its uncorrected formation energy is 468 meV per atom. The total energy comes out at -5.005 eV per atom. As for the volume: 123.9 Å³ per cell.

The structure belongs to space group P4/mmm (No. 123); the cell edges are 4.752, 4.752 and 5.485 Å and the angles 90.00°, 90.00° and 90.00°. The distinct sites, in fractional coordinates, are Cs at (0.000, 0.000, 0.000), Cr at (0.500, 0.500, 0.000), Si at (0.000, 0.500, 0.500) and Pt at (0.500, 0.500, 0.500).

[2]
Computed, not measured: crystalline YHo4MgSe8 at its relaxed geometry at the PBE level of DFT.

The calculation puts the total moment at 0.0 μB/cell. Its uncorrected formation energy is -1717 meV per atom. The total energy comes out at -5.591 eV per atom. As for the volume: 1220.9 Å³ per cell.

The structure belongs to space group R3m (No. 160, hexagonal axes); the cell edges are 8.3167, 8.3167 and 20.3813 Å and the angles 90.00°, 90.00° and 120.00°. The distinct sites, in fractional coordinates, are Y at (0.0000, 0.0000, 0.0000), Ho at (0.0000, 0.0000, 0.3781), Ho at (0.0087, 0.5043, 0.5043), Mg at (0.0000, 0.0000, 0.6283), Se at (0.0000, 0.0000, 0.2448), Se at (0.0000, 0.0000, 0.7572), Se at (0.0212, 0.5106, 0.7565) and Se at (0.1714, 0.3428, 0.5847).

[3]
Computed, not measured: crystalline K2DyInS4 at its relaxed geometry at the PBE level of DFT.

The calculation puts the total moment at 0.0 μB/cell. Its uncorrected formation energy is -1323 meV per atom. The total energy comes out at -4.579 eV per atom. As for the volume: 805.5 Å³ per cell.

The structure belongs to space group Imma (No. 74); the cell edges are 8.213, 8.306 and 11.808 Å and the angles 90.00°, 90.00° and 90.00°. The distinct sites, in fractional coordinates, are K at (0.000, 0.000, 0.000), K at (0.250, 0.250, 0.250), Dy at (0.000, 0.000, 0.500), In at (0.250, 0.250, 0.750), S at (0.000, 0.036, 0.737) and S at (0.222, 0.250, 0.514).

[4]
Computed, not measured: crystalline KScBe2 at its relaxed geometry at the PBE level of DFT.

The calculation puts the total moment at 0.0 μB/cell. As for the formation energy: 0.9141 eV/atom. The total energy comes out at -2.806 eV per atom. As for the volume: 287.0 Å³ per cell.

The structure belongs to space group F-43m (No. 216); the cell edges are 6.596, 6.596 and 6.596 Å and the angles 90.00°, 90.00° and 90.00°. The distinct sites, in fractional coordinates, are K at (0.000, 0.000, 0.000), Sc at (0.250, 0.250, 0.750), Be at (0.000, 0.000, 0.500) and Be at (0.250, 0.250, 0.250).